1.
## LaIr2Se (PBE)

Data for a relaxed structure of LaIr2Se.

Output
- VASP energy (eV/cell) = -28.35
- distance to the lowest polymorph of the same formula (meV/atom) = 0.0
- formation energy (no corrections) (kJ/mol of atoms) = -53.5
- DOS at the Fermi energy (states/eV per atom) = 0.595
- space group = Cm, No. 8

a b c (Å): 4.8249 4.8249 5.4390
angles (deg): 112.39 112.39 47.73
Fractional coordinates of all 4 atoms:
La 0.0000 0.0000 0.0000
Ir 0.2294 0.2294 0.6173
Ir 0.5354 0.5354 0.5956
Se 0.8099 0.8099 0.3807

***

2.
## Tb6Nd8Dy (PBE)

Data for a relaxed structure of Tb6Nd8Dy.

Output
- calculated formation energy (eV per atom) = 0.17
- VASP energy (eV/cell) = -67.95
- distance to the lowest polymorph of the same formula (meV/atom) = 51.7
- DOS at the Fermi energy (states/eV per atom) = 1.572
- space group = P-3, No. 147

a b c (Å): 9.4667 9.4667 6.6170
angles (deg): 90.00 90.00 120.00
Fractional coordinates of all 15 atoms:
Tb 0.0917 0.6561 0.1573
Tb 0.3439 0.4356 0.1573
Tb 0.4356 0.0917 0.8427
Tb 0.5644 0.9083 0.1573
Tb 0.6561 0.5644 0.8427
Tb 0.9083 0.3439 0.8427
Nd 0.0344 0.7486 0.6657
Nd 0.2514 0.2858 0.6657
Nd 0.2858 0.0344 0.3343
Nd 0.3333 0.6667 0.6180
Nd 0.6667 0.3333 0.3820
Nd 0.7141 0.9656 0.6657
Nd 0.7486 0.7141 0.3343
Nd 0.9656 0.2514 0.3343
Dy 0.0000 0.0000 0.0000

***

3.
## Dy3Er5N8 (PBE)

Data for a relaxed structure of Dy3Er5N8.

Output
- VASP energy (eV/cell) = -131.27
- formation energy (no corrections) (kJ/mol of atoms) = -169.1
- DOS at the Fermi energy (states/eV per atom) = 0.033
- space group = R-3m, No. 166

a b c (Å): 6.8912 6.8912 6.8912
angles (deg): 60.00 60.00 60.00
Fractional coordinates of all 16 atoms:
Dy 0.0000 0.5000 0.5000
Dy 0.5000 0.0000 0.5000
Dy 0.5000 0.5000 0.0000
Er 0.0000 0.0000 0.0000
Er 0.0000 0.0000 0.5000
Er 0.0000 0.5000 0.0000
Er 0.5000 0.0000 0.0000
Er 0.5000 0.5000 0.5000
N 0.2482 0.7500 0.7500
N 0.2491 0.2491 0.2491
N 0.2500 0.2500 0.7518
N 0.2500 0.7518 0.2500
N 0.7500 0.2482 0.7500
N 0.7500 0.7500 0.2482
N 0.7509 0.7509 0.7509
N 0.7518 0.2500 0.2500

***

4.
## ZnSiBr2 (PBE)

Data for a relaxed structure of ZnSiBr2.

Output
- VASP energy (eV/cell) = -8.55
- distance to the lowest polymorph of the same formula (meV/atom) = 532.6
- formation energy (no corrections) (kJ/mol of atoms) = 35.9
- DOS at the Fermi energy (states/eV per atom) = 0.641
- space group = P4/mmm, No. 123

a b c (Å): 4.9483 4.9483 3.7174
angles (deg): 90.00 90.00 90.00
Fractional coordinates of all 4 atoms:
Zn 0.0000 0.0000 0.0000
Si 0.5000 0.5000 0.0000
Br 0.0000 0.5000 0.5000
Br 0.5000 0.0000 0.5000

***

5.
## Pa3Al7Co4 (PBE)

Data for a relaxed structure of Pa3Al7Co4.

Output
- calculated formation energy (eV per atom) = -0.46
- VASP energy (eV/cell) = -89.57
- DOS at the Fermi energy (states/eV per atom) = 0.669
- space group = C2/m, No. 12

a b c (Å): 7.5999 7.5999 9.0624
angles (deg): 120.13 120.13 31.31
Fractional coordinates of all 14 atoms:
Pa 0.0000 0.0000 0.0000
Pa 0.3055 0.3055 0.2968
Pa 0.6945 0.6945 0.7032
Al 0.0000 0.0000 0.5000
Al 0.1570 0.1570 0.4250
Al 0.3204 0.3204 0.9793
Al 0.4888 0.4888 0.7088
Al 0.5112 0.5112 0.2912
Al 0.6796 0.6796 0.0207
Al 0.8430 0.8430 0.5750
Co 0.1062 0.1062 0.8483
Co 0.3289 0.3289 0.7209
Co 0.6711 0.6711 0.2791
Co 0.8938 0.8938 0.1517

***

6.
## K3Sm3MoS8 (PBE)

Data for a relaxed structure of K3Sm3MoS8.

Output
- VASP energy (eV/cell) = -84.14
- formation energy (no corrections) (kJ/mol of atoms) = -146.9
- DOS at the Fermi energy (states/eV per atom) = 0.438
- space group = R-3m, No. 166

a b c (Å): 8.8282 8.8282 8.8282
angles (deg): 53.89 53.89 53.89
Fractional coordinates of all 15 atoms:
K 0.0000 0.5000 0.5000
K 0.5000 0.0000 0.5000
K 0.5000 0.5000 0.0000
Sm 0.0000 0.0000 0.5000
Sm 0.0000 0.5000 0.0000
Sm 0.5000 0.0000 0.0000
Mo 0.5000 0.5000 0.5000
S 0.2358 0.2358 0.2358
S 0.2618 0.7141 0.7141
S 0.2859 0.2859 0.7382
S 0.2859 0.7382 0.2859
S 0.7141 0.2618 0.7141
S 0.7141 0.7141 0.2618
S 0.7382 0.2859 0.2859
S 0.7642 0.7642 0.7642

***

7.
## PuInSb2 (PBE)

Data for a relaxed structure of PuInSb2.

Output
- VASP energy (eV/cell) = -26.82
- distance to the lowest polymorph of the same formula (meV/atom) = 0.0
- formation energy (no corrections) (kJ/mol of atoms) = -36.3
- DOS at the Fermi energy (states/eV per atom) = 2.219
- space group = P4/mmm, No. 123

a b c (Å): 4.8505 4.8505 4.3720
angles (deg): 90.00 90.00 90.00
Fractional coordinates of all 4 atoms:
Pu 0.0000 0.0000 0.0000
In 0.5000 0.5000 0.0000
Sb 0.0000 0.5000 0.5000
Sb 0.5000 0.0000 0.5000

***

8.
## ErTmTePb (PBE)

Data for a relaxed structure of ErTmTePb.

Output
- VASP energy (eV/cell) = -19.38
- formation energy (no corrections) (kJ/mol of atoms) = -84.3
- DOS at the Fermi energy (states/eV per atom) = 0.307
- space group = P4/mmm, No. 123

a b c (Å): 4.3701 4.3701 6.1632
angles (deg): 90.00 90.00 90.00
Fractional coordinates of all 4 atoms:
Er 0.0000 0.0000 0.0000
Tm 0.5000 0.5000 0.5000
Te 0.0000 0.0000 0.5000
Pb 0.5000 0.5000 0.0000